Entry 1:
{
  "formula": "La2TeSe",
  "functional": "PBE",
  "state": "optimized geometry",
  "lattice_angstrom": [[-2.721, 7.489, -0.349], [-2.986, 4.865, -5.569], [0.160, -7.112, 3.606]],
  "species": ["Se", "La", "La", "Te"],
  "fractional_positions": [[0.541, 0.541, 0.000], [0.699, 0.199, 0.500], [0.965, 0.965, 0.000], [0.295, 0.795, 0.500]],
  "raw_formation_energy_mev_per_atom": -1628.1,
  "volume_a3_per_atom": 31.72,
  "dos_at_fermi_per_ev_fu": 3.36,
  "de_polymorph_mev_per_atom": 178,
  "final_energy_ev_per_atom": -5.748
}

=====

Entry 2:
{
  "formula": "La3TeSe6",
  "functional": "PBE",
  "state": "optimized geometry",
  "lattice_angstrom": [[7.261, 0.000, 0.000], [0.000, 9.298, -0.001], [0.000, -2.076, 9.064]],
  "species": ["La", "La", "La", "La", "La", "La", "Se", "Se", "Se", "Se", "Se", "Se", "Se", "Se", "Se", "Se", "Se", "Se", "Te", "Te"],
  "fractional_positions": [[0.885, 0.593, 0.407], [0.491, 0.291, 0.085], [0.385, 0.407, 0.593], [0.991, 0.085, 0.291], [0.491, 0.915, 0.709], [0.991, 0.709, 0.915], [0.700, 0.578, 0.103], [0.135, 0.767, 0.233], [0.635, 0.233, 0.767], [0.687, 0.632, 0.696], [0.700, 0.897, 0.422], [0.687, 0.304, 0.368], [0.200, 0.422, 0.897], [0.240, 0.009, 0.991], [0.740, 0.991, 0.009], [0.200, 0.103, 0.578], [0.187, 0.368, 0.304], [0.187, 0.696, 0.632], [0.470, 0.838, 0.162], [0.970, 0.162, 0.838]],
  "raw_formation_energy_mev_per_atom": -1446.9,
  "volume_a3_per_atom": 30.60,
  "dos_at_fermi_per_ev_fu": 4.63,
  "final_energy_ev_per_atom": -5.330
}

=====

Entry 3:
{
  "formula": "LaTeSe2",
  "functional": "PBE",
  "state": "optimized geometry",
  "lattice_angstrom": [[-3.031, -2.237, -1.941], [3.799, -4.827, -0.369], [-1.371, -1.362, 3.711]],
  "species": ["Se", "Se", "La", "Te"],
  "fractional_positions": [[0.500, 0.500, 0.000], [0.000, 0.000, 0.000], [0.000, 0.500, 0.500], [0.500, 0.000, 0.500]],
  "raw_formation_energy_mev_per_atom": -1075.6,
  "volume_a3_per_atom": 27.28,
  "dos_at_fermi_per_ev_fu": 1.73,
  "final_energy_ev_per_atom": -4.835
}

=====

Entry 4:
{
  "formula": "LaTeSe2",
  "functional": "PBE",
  "state": "optimized geometry",
  "lattice_angstrom": [[4.109, 0.000, 0.000], [0.000, 4.110, -0.025], [0.000, 1.287, 7.974]],
  "species": ["La", "Se", "Se", "Te"],
  "fractional_positions": [[0.500, 0.584, 0.759], [0.000, 0.050, 0.872], [0.500, 0.179, 0.446], [0.000, 0.687, 0.423]],
  "raw_formation_energy_mev_per_atom": -1215.2,
  "volume_a3_per_atom": 33.70,
  "dos_at_fermi_per_ev_fu": 0.81,
  "final_energy_ev_per_atom": -4.975
}

=====

Entry 5:
{
  "formula": "La2TeSe",
  "functional": "PBE",
  "state": "optimized geometry",
  "lattice_angstrom": [[-4.024, -3.592, -0.603], [-0.668, -2.555, -4.741], [1.127, -5.293, -0.413]],
  "species": ["Se", "La", "La", "Te"],
  "fractional_positions": [[0.500, 0.500, 0.500], [0.250, 0.250, 0.250], [0.000, 0.000, 0.000], [0.750, 0.750, 0.750]],
  "raw_formation_energy_mev_per_atom": -702.6,
  "volume_a3_per_atom": 28.26,
  "dos_at_fermi_per_ev_fu": 3.65,
  "de_polymorph_mev_per_atom": 1103,
  "final_energy_ev_per_atom": -4.823
}

=====

Entry 6:
{
  "formula": "LaTe2Se",
  "functional": "PBE",
  "state": "optimized geometry",
  "lattice_angstrom": [[-1.651, 4.840, -1.874], [-4.892, 0.488, -2.344], [-3.987, 2.693, 2.553]],
  "species": ["La", "Te", "Te", "Se"],
  "fractional_positions": [[0.500, 0.500, 0.500], [0.000, 0.000, 0.000], [0.250, 0.250, 0.250], [0.750, 0.750, 0.750]],
  "raw_formation_energy_mev_per_atom": -657.6,
  "volume_a3_per_atom": 28.56,
  "dos_at_fermi_per_ev_fu": 6.59,
  "final_energy_ev_per_atom": -4.331
}

=====

Entry 7:
{
  "formula": "LaTeSe2",
  "functional": "PBE",
  "state": "optimized geometry",
  "lattice_angstrom": [[5.521, 0.010, 0.003], [0.898, 5.448, -0.003], [-2.829, -3.177, 3.520]],
  "species": ["Te", "Se", "Se", "La"],
  "fractional_positions": [[0.250, 0.750, 0.500], [0.457, 0.457, 0.000], [0.043, 0.043, 0.000], [0.750, 0.250, 0.500]],
  "raw_formation_energy_mev_per_atom": -982.5,
  "volume_a3_per_atom": 26.46,
  "dos_at_fermi_per_ev_fu": 1.67,
  "final_energy_ev_per_atom": -4.742
}

=====

Entry 8:
{
  "formula": "La2TeSe",
  "functional": "PBE",
  "state": "optimized geometry",
  "lattice_angstrom": [[-5.348, 6.075, -0.479], [-6.629, 3.670, 2.884], [-3.420, 6.533, 3.369]],
  "species": ["La", "La", "Te", "Se"],
  "fractional_positions": [[0.176, 0.176, 0.176], [0.991, 0.991, 0.991], [0.751, 0.751, 0.751], [0.582, 0.582, 0.582]],
  "raw_formation_energy_mev_per_atom": -1774.8,
  "volume_a3_per_atom": 31.27,
  "dos_at_fermi_per_ev_fu": 0.83,
  "de_polymorph_mev_per_atom": 31,
  "final_energy_ev_per_atom": -5.895
}